[1]
An optimized crystal structure of NaTa3O8, computed with PBE-GGA.

Unit cell a=7.2583 b=7.2583 c=7.2583 alpha=120.21 beta=87.89 gamma=122.25
Closest atoms and distances in Å follow each position.
Atoms (fractional coordinates):
Na 0.2500 0.2500 0.0000  8 O 2.51-2.69
Na 0.7500 0.7500 0.0000  8 O 2.51-2.69
Ta 0.2359 0.7374 0.9733  5 O 1.95-2.03
Ta 0.2500 0.7500 0.5000  8 O 2.07
Ta 0.2641 0.2374 0.5015  5 O 1.95-2.03
Ta 0.7359 0.7626 0.4985  5 O 1.95-2.03
Ta 0.7500 0.2500 0.5000  8 O 2.07
Ta 0.7641 0.2626 0.0267  5 O 1.95-2.03
O 0.0624 0.8994 0.5511  2 Ta 1.98-2.07
O 0.0669 0.6190 0.6858  3 Ta 1.96-2.07
O 0.1517 0.6006 0.1630  2 Ta 1.98-2.07
O 0.1720 0.9907 0.1628  2 Ta 1.95-2.03
O 0.3280 0.4907 0.8187  2 Ta 1.95-2.03
O 0.3483 0.5113 0.4489  2 Ta 1.98-2.07
O 0.4331 0.1190 0.5521  3 Ta 1.96-2.07
O 0.4376 0.9887 0.8370  2 Ta 1.98-2.07
O 0.5624 0.0113 0.1630  2 Ta 1.98-2.07
O 0.5669 0.8810 0.4479  3 Ta 1.96-2.07
O 0.6517 0.4887 0.5511  2 Ta 1.98-2.07
O 0.6720 0.5093 0.1813  2 Ta 1.95-2.03
O 0.8280 0.0093 0.8372  2 Ta 1.95-2.03
O 0.8483 0.3994 0.8370  2 Ta 1.98-2.07
O 0.9331 0.3810 0.3142  3 Ta 1.96-2.07
O 0.9376 0.1006 0.4489  2 Ta 1.98-2.07

Output
As for the total magnetic moment: 0.0 μB per cell. Its calculated total energy is -9.118 eV per atom.

[2]
An optimized crystal structure of Cd2Cu9, computed with PBE-GGA.

Unit cell a=2.6472 b=2.6472 c=25.8591 alpha=90.00 beta=90.00 gamma=120.00
Closest atoms and distances in Å follow each position.
Atoms (fractional coordinates):
Cd 0.3333 0.6667 0.4111  6 Cd 2.65
Cd 0.6667 0.3333 0.5889  6 Cd 2.65
Cu 0.0000 0.0000 0.0000  12 Cu 2.52-2.65
Cu 0.0000 0.0000 0.2331  12 Cu 2.54-2.65
Cu 0.0000 0.0000 0.7669  12 Cu 2.54-2.65
Cu 0.3333 0.6667 0.1549  12 Cu 2.52-2.65
Cu 0.3333 0.6667 0.6885  9 Cu 2.54-2.65
Cu 0.3333 0.6667 0.9227  12 Cu 2.52-2.65
Cu 0.6667 0.3333 0.0773  12 Cu 2.52-2.65
Cu 0.6667 0.3333 0.3115  9 Cu 2.54-2.65
Cu 0.6667 0.3333 0.8451  12 Cu 2.52-2.65

Output
As for the formation energy: 0.13 eV/atom.

[3]
An optimized crystal structure of KNdU, computed with PBE-GGA.

Unit cell a=5.7107 b=5.7107 c=5.7107 alpha=60.00 beta=60.00 gamma=60.00
Closest atoms and distances in Å follow each position.
Atoms (fractional coordinates):
K 0.0000 0.0000 0.0000  4 Nd 3.50
Nd 0.7500 0.7500 0.7500  4 K 3.50, 4 U 3.50
U 0.5000 0.5000 0.5000  4 Nd 3.50

Output
As for the total magnetic moment: 5.3 μB per cell. Its calculated total energy is -3.895 eV per atom.

[4]
An optimized crystal structure of CsTaBePt, computed with PBE-GGA.

Unit cell a=4.7440 b=4.7440 c=4.7440 alpha=60.00 beta=60.00 gamma=60.00
Closest atoms and distances in Å follow each position.
Atoms (fractional coordinates):
Cs 0.0000 0.0000 0.0000  4 Pt 2.91, 4 Ta 2.91
Ta 0.2500 0.2500 0.2500  4 Be 2.91, 4 Cs 2.91
Be 0.5000 0.5000 0.5000  4 Ta 2.91, 4 Pt 2.91
Pt 0.7500 0.7500 0.7500  4 Be 2.91, 4 Cs 2.91

Output
As for the total magnetic moment: 0.0 μB per cell. Its calculated total energy is -4.101 eV per atom.

[5]
An optimized crystal structure of BiPt18, computed with PBE-GGA.

Unit cell a=5.5735 b=3.9477 c=42.1980 alpha=90.00 beta=90.01 gamma=90.00
Closest atoms and distances in Å follow each position.
Atoms (fractional coordinates):
Bi 0.1253 0.2500 0.1801  5 Pt 2.82-2.91
Bi 0.8747 0.7500 0.8199  5 Pt 2.82-2.91
Pt 0.1249 0.2500 0.2491  11 Pt 2.79-2.85, 1 Bi 2.91
Pt 0.1251 0.2500 0.3163  12 Pt 2.79-2.84
Pt 0.1250 0.2500 0.3832  12 Pt 2.79-2.82
Pt 0.1252 0.2500 0.4501  12 Pt 2.79-2.82
Pt 0.1252 0.2500 0.5167  12 Pt 2.78-2.82
Pt 0.1252 0.2500 0.5835  12 Pt 2.78-2.83
Pt 0.1252 0.2500 0.6507  12 Pt 2.78-2.84
Pt 0.1258 0.2500 0.7180  12 Pt 2.78-2.87
Pt 0.1303 0.2500 0.7860  7 Pt 2.73-2.87, 2 Bi 2.82
Pt 0.3754 0.7500 0.4163  12 Pt 2.78-2.83
Pt 0.3754 0.7500 0.4833  12 Pt 2.78-2.83
Pt 0.3751 0.7500 0.5503  12 Pt 2.79-2.84
Pt 0.3749 0.7500 0.6175  12 Pt 2.79-2.85
Pt 0.3749 0.7500 0.6851  12 Pt 2.79-2.91
Pt 0.3751 0.7500 0.7541  11 Pt 2.75-2.91
Pt 0.3757 0.7500 0.2819  12 Pt 2.78-2.87
Pt 0.3755 0.7500 0.3492  12 Pt 2.78-2.84
Pt 0.3803 0.7500 0.2139  7 Pt 2.73-2.87, 2 Bi 2.82
Pt 0.6197 0.2500 0.7861  7 Pt 2.73-2.87, 2 Bi 2.82
Pt 0.6245 0.2500 0.6508  12 Pt 2.78-2.84
Pt 0.6243 0.2500 0.7181  12 Pt 2.78-2.87
Pt 0.6249 0.2500 0.2459  11 Pt 2.75-2.91
Pt 0.6251 0.2500 0.3149  12 Pt 2.79-2.91
Pt 0.6251 0.2500 0.3825  12 Pt 2.79-2.85
Pt 0.6249 0.2500 0.4497  12 Pt 2.79-2.84
Pt 0.6246 0.2500 0.5167  12 Pt 2.78-2.83
Pt 0.6246 0.2500 0.5837  12 Pt 2.78-2.83
Pt 0.8697 0.7500 0.2140  7 Pt 2.73-2.87, 2 Bi 2.82
Pt 0.8742 0.7500 0.2820  12 Pt 2.78-2.87
Pt 0.8748 0.7500 0.3493  12 Pt 2.78-2.84
Pt 0.8748 0.7500 0.4165  12 Pt 2.78-2.83
Pt 0.8748 0.7500 0.4833  12 Pt 2.78-2.82
Pt 0.8748 0.7500 0.5499  12 Pt 2.79-2.82
Pt 0.8750 0.7500 0.6168  12 Pt 2.79-2.82
Pt 0.8749 0.7500 0.6837  12 Pt 2.79-2.84
Pt 0.8751 0.7500 0.7509  11 Pt 2.79-2.85, 1 Bi 2.91

Output
As for the total magnetic moment: 0.0 μB per cell. Its calculated total energy is -5.934 eV per atom.

[6]
An optimized crystal structure of CuAu3S5, computed with PBE-GGA.

Unit cell a=5.3456 b=5.3456 c=8.4778 alpha=90.00 beta=90.00 gamma=120.00
Closest atoms and distances in Å follow each position.
Atoms (fractional coordinates):
Cu 0.0000 0.0000 0.0000  12 S 3.24
Au 0.0000 0.5000 0.5000  4 Au 2.67, 2 S 2.67
Au 0.5000 0.0000 0.5000  4 Au 2.67, 2 S 2.67
Au 0.5000 0.5000 0.5000  4 Au 2.67, 2 S 2.67
S 0.0000 0.0000 0.5000  6 Au 2.67
S 0.3333 0.6667 0.1155  1 S 1.96
S 0.3333 0.6667 0.8845  1 S 1.96
S 0.6667 0.3333 0.1155  1 S 1.96
S 0.6667 0.3333 0.8845  1 S 1.96

Output
Its calculated total energy is -3.268 eV per atom.

[7]
An optimized crystal structure of TaReNiBi, computed with PBE-GGA.

Unit cell a=4.6123 b=4.6123 c=4.6123 alpha=60.00 beta=60.00 gamma=60.00
Closest atoms and distances in Å follow each position.
Atoms (fractional coordinates):
Ta 0.0000 0.0000 0.0000  4 Bi 2.82, 4 Re 2.82
Re 0.7500 0.7500 0.7500  4 Ni 2.82, 4 Ta 2.82
Ni 0.5000 0.5000 0.5000  4 Re 2.82, 4 Bi 2.82
Bi 0.2500 0.2500 0.2500  4 Ni 2.82, 4 Ta 2.82

Output
As for the total magnetic moment: 0.9 μB per cell. Its calculated total energy is -7.784 eV per atom.

[8]
An optimized crystal structure of Tb2YSn2Pb5, computed with PBE-GGA.

Unit cell a=13.6593 b=13.6593 c=4.6123 alpha=90.00 beta=90.00 gamma=160.97
Closest atoms and distances in Å follow each position.
Atoms (fractional coordinates):
Tb 0.1935 0.8065 0.0000  6 Sn 3.26-3.45, 4 Pb 3.41-3.43
Tb 0.8065 0.1935 0.0000  6 Sn 3.26-3.45, 4 Pb 3.41-3.43
Y 0.5000 0.5000 0.5000  12 Pb 3.23-3.52
Sn 0.2887 0.7113 0.5000  2 Sn 3.07, 4 Tb 3.26
Sn 0.7113 0.2887 0.5000  2 Sn 3.07, 4 Tb 3.26
Pb 0.0000 0.0000 0.0000  4 Y 3.23, 8 Pb 3.49-3.53
Pb 0.0993 0.9007 0.5000  6 Pb 3.23-3.53, 2 Tb 3.43, 2 Y 3.50
Pb 0.4013 0.5987 0.0000  6 Pb 3.23-3.49, 2 Tb 3.41, 2 Y 3.52
Pb 0.5987 0.4013 0.0000  6 Pb 3.23-3.49, 2 Tb 3.41, 2 Y 3.52
Pb 0.9007 0.0993 0.5000  6 Pb 3.23-3.53, 2 Tb 3.43, 2 Y 3.50

Output
As for the total magnetic moment: 0.0 μB per cell. Its calculated total energy is -4.637 eV per atom.

| no. | calculated volume (Å³/cell) |
| --- | --- |
| 1 | 265.0 |
| 2 | 156.9 |
| 3 | 131.7 |
| 4 | 75.5 |
| 5 | 928.4 |
| 6 | 209.8 |
| 7 | 69.4 |
| 8 | 280.6 |